Computed, not measured: CaMg2Ag after structural relaxation at the PBEsol level of DFT.

Structure (POSCAR):
```
CaMg2Ag
1.0
3.458 0.000 0.000
0.000 3.458 0.000
0.000 0.000 7.843
Ca Mg Ag
1 2 1
direct
0.000 0.000 0.000 Ca
0.500 0.500 0.305 Mg
0.500 0.500 0.695 Mg
0.000 0.000 0.500 Ag
```

Total moment ... 0.0 μB per formula unit
E_tot ... -9.4 eV per formula unit

=====

Computed, not measured: B9H11 after structural relaxation at the PBEsol level of DFT.

Structure (POSCAR):
```
B9H11
1.0
9.018 0.000 0.000
0.000 12.845 0.000
-4.254 0.000 11.512
B H
72 88
direct
0.000 0.089 0.142 B
0.000 0.411 0.642 B
0.000 0.589 0.358 B
0.000 0.911 0.858 B
0.044 0.582 0.227 B
0.044 0.918 0.727 B
0.079 0.511 0.736 B
0.079 0.989 0.236 B
0.086 0.157 0.408 B
0.086 0.343 0.908 B
0.118 0.027 0.381 B
0.118 0.473 0.881 B
0.205 0.065 0.184 B
0.205 0.435 0.684 B
0.236 0.232 0.383 B
0.236 0.268 0.883 B
0.276 0.019 0.326 B
0.276 0.481 0.826 B
0.278 0.218 0.767 B
0.278 0.282 0.267 B
0.282 0.108 0.438 B
0.282 0.392 0.938 B
0.327 0.144 0.897 B
0.327 0.356 0.397 B
0.337 0.148 0.314 B
0.337 0.352 0.814 B
0.350 0.728 0.999 B
0.350 0.772 0.499 B
0.373 0.718 0.632 B
0.373 0.782 0.132 B
0.433 0.651 0.123 B
0.433 0.849 0.623 B
0.447 0.649 0.534 B
0.447 0.851 0.034 B
0.452 0.144 0.816 B
0.452 0.356 0.316 B
0.456 0.228 0.261 B
0.456 0.272 0.761 B
0.544 0.728 0.239 B
0.544 0.772 0.739 B
0.548 0.644 0.684 B
0.548 0.856 0.184 B
0.553 0.149 0.966 B
0.553 0.351 0.466 B
0.567 0.151 0.377 B
0.567 0.349 0.877 B
0.627 0.218 0.868 B
0.627 0.282 0.368 B
0.650 0.228 0.501 B
0.650 0.272 0.001 B
0.663 0.648 0.186 B
0.663 0.852 0.686 B
0.673 0.644 0.603 B
0.673 0.856 0.103 B
0.718 0.608 0.062 B
0.718 0.892 0.562 B
0.722 0.718 0.733 B
0.722 0.782 0.233 B
0.724 0.519 0.174 B
0.724 0.981 0.674 B
0.764 0.732 0.117 B
0.764 0.768 0.617 B
0.795 0.565 0.316 B
0.795 0.935 0.816 B
0.882 0.527 0.119 B
0.882 0.973 0.619 B
0.914 0.657 0.092 B
0.914 0.843 0.592 B
0.921 0.011 0.764 B
0.921 0.489 0.264 B
0.956 0.082 0.273 B
0.956 0.418 0.773 B
0.033 0.181 0.481 H
0.033 0.319 0.981 H
0.043 0.600 0.708 H
0.043 0.900 0.208 H
0.050 0.661 0.300 H
0.050 0.839 0.800 H
0.075 0.241 0.344 H
0.075 0.259 0.844 H
0.089 0.533 0.947 H
0.089 0.967 0.447 H
0.093 0.588 0.455 H
0.093 0.912 0.955 H
0.119 0.150 0.141 H
0.119 0.350 0.641 H
0.172 0.195 0.679 H
0.172 0.305 0.179 H
0.178 0.569 0.234 H
0.178 0.931 0.734 H
0.232 0.710 0.918 H
0.232 0.790 0.418 H
0.257 0.067 0.906 H
0.257 0.433 0.406 H
0.260 0.693 0.656 H
0.260 0.807 0.156 H
0.263 0.041 0.114 H
0.263 0.459 0.614 H
0.316 0.208 0.978 H
0.316 0.292 0.478 H
0.368 0.573 0.136 H
0.368 0.927 0.636 H
0.374 0.097 0.535 H
0.374 0.403 0.035 H
0.376 0.547 0.846 H
0.376 0.953 0.346 H
0.387 0.575 0.477 H
0.387 0.925 0.977 H
0.438 0.643 0.016 H
0.438 0.857 0.516 H
0.448 0.721 0.456 H
0.448 0.779 0.956 H
0.454 0.063 0.768 H
0.454 0.437 0.268 H
0.462 0.205 0.168 H
0.462 0.295 0.668 H
0.538 0.705 0.332 H
0.538 0.795 0.832 H
0.546 0.563 0.732 H
0.546 0.937 0.232 H
0.552 0.221 0.044 H
0.552 0.279 0.544 H
0.562 0.143 0.484 H
0.562 0.357 0.984 H
0.613 0.075 0.023 H
0.613 0.425 0.523 H
0.624 0.047 0.654 H
0.624 0.453 0.154 H
0.626 0.597 0.965 H
0.626 0.903 0.465 H
0.632 0.073 0.364 H
0.632 0.427 0.864 H
0.684 0.708 0.522 H
0.684 0.792 0.022 H
0.737 0.541 0.386 H
0.737 0.959 0.886 H
0.740 0.193 0.844 H
0.740 0.307 0.344 H
0.743 0.567 0.594 H
0.743 0.933 0.094 H
0.768 0.210 0.582 H
0.768 0.290 0.082 H
0.822 0.069 0.266 H
0.822 0.431 0.766 H
0.828 0.695 0.821 H
0.828 0.805 0.321 H
0.881 0.650 0.359 H
0.881 0.850 0.859 H
0.907 0.088 0.045 H
0.907 0.412 0.545 H
0.911 0.033 0.553 H
0.911 0.467 0.053 H
0.925 0.741 0.156 H
0.925 0.759 0.656 H
0.950 0.161 0.200 H
0.950 0.339 0.700 H
0.957 0.100 0.792 H
0.957 0.400 0.292 H
0.967 0.681 0.019 H
0.967 0.819 0.519 H
```

Total moment ... 0.0 μB per formula unit
Distance to the lowest polymorph of the same formula ... 0.05 eV/f.u.
E_tot ... -100.8 eV per formula unit

=====

Computed, not measured: Tl2CrRe after structural relaxation at the PBEsol level of DFT.

Structure (POSCAR):
```
Tl2CrRe
1.0
11.566 0.000 0.000
0.000 3.024 0.000
-1.927 0.000 4.383
Tl Cr Re
4 2 2
direct
0.000 0.000 0.000 Tl
0.212 0.000 0.655 Tl
0.500 0.500 0.000 Tl
0.712 0.500 0.655 Tl
0.444 0.000 0.455 Cr
0.944 0.500 0.455 Cr
0.287 0.500 0.226 Re
0.787 0.000 0.226 Re
```

Total moment ... 0.7 μB per formula unit
Distance to the lowest polymorph of the same formula ... 0.94 eV/f.u.
E_tot ... -25.5 eV per formula unit

=====

Computed, not measured: KTe2F after structural relaxation at the PBEsol level of DFT.

Structure (POSCAR):
```
KTe2F
1.0
4.104 0.000 0.000
0.000 4.104 0.000
0.000 0.000 28.982
K Te F
4 8 4
direct
0.000 0.000 0.000 K
0.000 0.500 0.250 K
0.500 0.000 0.750 K
0.500 0.500 0.500 K
0.249 0.250 0.625 Te
0.250 0.749 0.875 Te
0.250 0.751 0.375 Te
0.251 0.250 0.125 Te
0.749 0.750 0.125 Te
0.750 0.249 0.375 Te
0.750 0.251 0.875 Te
0.751 0.750 0.625 Te
0.000 0.000 0.500 F
0.000 0.500 0.750 F
0.500 0.000 0.250 F
0.500 0.500 0.000 F
```

Total moment ... 0.0 μB per formula unit
ΔE_f (raw) ... -103.86 kJ/mol of atoms
Distance to the lowest polymorph of the same formula ... 0.00 eV/f.u.
E_tot ... -14.4 eV per formula unit

=====

Computed, not measured: Ta8Pt after structural relaxation at the PBEsol level of DFT.

Structure (POSCAR):
```
Ta8Pt
1.0
-4.809 4.809 1.678
4.809 -4.809 1.678
4.809 4.809 -1.678
Ta Pt
8 1
direct
0.000 0.332 0.332 Ta
0.000 0.668 0.668 Ta
0.332 0.000 0.332 Ta
0.333 0.333 0.667 Ta
0.333 0.667 0.000 Ta
0.667 0.333 0.000 Ta
0.667 0.667 0.333 Ta
0.668 0.000 0.668 Ta
0.000 0.000 0.000 Pt
```

Total moment ... 0.0 μB per formula unit
E_tot ... -109.2 eV per formula unit

=====

Computed, not measured: BaZrSe2 after structural relaxation at the PBEsol level of DFT.

Structure (POSCAR):
```
BaZrSe2
1.0
4.386 0.000 0.000
-2.193 3.798 0.000
0.000 0.000 26.314
Ba Zr Se
3 3 6
direct
0.000 0.000 0.000 Ba
0.333 0.667 0.667 Ba
0.667 0.333 0.333 Ba
0.000 0.000 0.500 Zr
0.333 0.667 0.167 Zr
0.667 0.333 0.833 Zr
0.000 0.000 0.405 Se
0.000 0.000 0.595 Se
0.333 0.667 0.072 Se
0.333 0.667 0.262 Se
0.667 0.333 0.738 Se
0.667 0.333 0.928 Se
```

Total moment ... 0.0 μB per formula unit
ΔE_f (raw) ... -74.07 kJ/mol of atoms
Distance to the lowest polymorph of the same formula ... 1.66 eV/f.u.
E_tot ... -22.0 eV per formula unit

=====

Computed, not measured: TlAuBr2 after structural relaxation at the PBEsol level of DFT.

Structure (POSCAR):
```
TlAuBr2
1.0
3.848 0.000 0.000
0.000 3.848 0.000
0.000 0.000 7.970
Tl Au Br
1 1 2
direct
0.000 0.000 0.000 Tl
0.500 0.500 0.447 Au
0.000 0.000 0.428 Br
0.500 0.500 0.806 Br
```

Total moment ... 0.0 μB per formula unit
ΔE_f (raw) ... -19.23 kJ/mol of atoms
Distance to the lowest polymorph of the same formula ... 0.51 eV/f.u.
E_tot ... -11.1 eV per formula unit

=====

Computed, not measured: KGa3Tc after structural relaxation at the PBEsol level of DFT.

Structure (POSCAR):
```
KGa3Tc
1.0
4.836 0.000 0.000
0.000 4.836 0.000
0.000 0.000 4.836
K Ga Tc
1 3 1
direct
0.000 0.000 0.000 K
0.000 0.500 0.500 Ga
0.500 0.000 0.500 Ga
0.500 0.500 0.000 Ga
0.500 0.500 0.500 Tc
```

Total moment ... 0.0 μB per formula unit
E_tot ... -23.1 eV per formula unit